Arrangement P

# AlPd3F

A relaxed structure of AlPd3F (PBE, Alexandria via LeMat-Bulk). Values from VASP.

```
&SYSTEM
  ibrav = 0, nat = 5, ntyp = 3
/
ATOMIC_SPECIES
Al 26.98 Al.upf
Pd 106.42 Pd.upf
F 19.00 F.upf
ATOMIC_POSITIONS angstrom
Al 0.0000 0.0000 0.0000
Pd 0.0000 2.3079 0.0000
Pd 0.0000 0.0000 2.3079
Pd 2.3079 0.0000 0.0000
F 2.3079 2.3079 2.3079
CELL_PARAMETERS angstrom
4.6157 0.0000 0.0000
0.0000 4.6157 0.0000
0.0000 0.0000 4.6157
```

Arrangement Q

# AlPd3F

A relaxed structure of AlPd3F (PBE, Alexandria via LeMat-Bulk). Values from VASP.

```
&SYSTEM
  ibrav = 0, nat = 5, ntyp = 3
/
ATOMIC_SPECIES
Al 26.98 Al.upf
Pd 106.42 Pd.upf
F 19.00 F.upf
ATOMIC_POSITIONS angstrom
Al 2.1719 2.1719 2.1719
Pd 0.0000 2.1719 0.0000
Pd 0.0000 0.0000 2.1719
Pd 2.1719 0.0000 0.0000
F 0.0000 0.0000 0.0000
CELL_PARAMETERS angstrom
4.3437 0.0000 0.0000
0.0000 4.3437 0.0000
0.0000 0.0000 4.3437
```

Need the numbers? Relative energies in kJ/mol of atoms: arrangement P 9.2; arrangement Q 0.0.

Arrangement P

# AlPdF2

A relaxed structure of AlPdF2 (PBE, Alexandria via LeMat-Bulk). Values from VASP.

```
&SYSTEM
  ibrav = 0, nat = 8, ntyp = 3
/
ATOMIC_SPECIES
Al 26.98 Al.upf
Pd 106.42 Pd.upf
F 19.00 F.upf
ATOMIC_POSITIONS angstrom
Al 2.0071 2.0071 2.0071
Al 0.0000 0.0000 0.0000
Pd 6.0214 6.0214 6.0214
Pd 4.0143 4.0143 4.0143
F 3.0107 1.0036 3.0107
F 1.0036 3.0107 3.0107
F 1.0036 1.0036 1.0036
F 3.0107 3.0107 1.0036
CELL_PARAMETERS angstrom
0.0000 4.0143 4.0143
4.0143 0.0000 4.0143
4.0143 4.0143 0.0000
```

Arrangement Q

# AlPdF2

A relaxed structure of AlPdF2 (PBE, Alexandria via LeMat-Bulk). Values from VASP.

```
&SYSTEM
  ibrav = 0, nat = 4, ntyp = 3
/
ATOMIC_SPECIES
Al 26.98 Al.upf
Pd 106.42 Pd.upf
F 19.00 F.upf
ATOMIC_POSITIONS angstrom
Al 0.0000 0.0000 0.0000
Pd 11.3581 2.0782 1.2266
F 20.9992 3.8423 2.2679
F 1.7169 0.3141 0.1854
CELL_PARAMETERS angstrom
7.9164 -0.0104 -0.0061
7.3999 2.8129 -0.0061
7.3999 1.3540 2.4656
```

Arrangement R

# AlPdF2

A relaxed structure of AlPdF2 (PBE, Alexandria via LeMat-Bulk). Values from VASP.

```
&SYSTEM
  ibrav = 0, nat = 4, ntyp = 3
/
ATOMIC_SPECIES
Al 26.98 Al.upf
Pd 106.42 Pd.upf
F 19.00 F.upf
ATOMIC_POSITIONS angstrom
Al 0.0000 0.0000 0.0000
Pd 2.9358 2.9358 2.9358
F 1.4679 1.4679 1.4679
F 4.4036 4.4036 4.4036
CELL_PARAMETERS angstrom
0.0000 2.9358 2.9358
2.9358 0.0000 2.9358
2.9358 2.9358 0.0000
```

Need the numbers? Relative energies in kJ/mol of atoms: arrangement P 0.0; arrangement Q 21.6; arrangement R 51.4.